Entry from Alexandria via LeMat-Bulk: a relaxed Li2Pm4AlGa crystal (PBE-GGA).

Results
Density of states at the Fermi level in states/eV per atom: 0.920
E_form in meV/atom: -250
M_tot in μB per cell: 0.0
ρ in g cm⁻³: 5.6

Lattice parameters (Å, degrees): 5.2479 5.2479 9.0918 73.23 73.23 60.00
Fractional positions:
Li1 0.7475 0.7475 0.7574
Li2 0.2525 0.2525 0.2426
Pm1 0.3761 0.3761 0.8716
Pm2 0.8739 0.8739 0.3784
Pm3 0.1261 0.1261 0.6216
Pm4 0.6239 0.6239 0.1284
Al1 0.0000 0.0000 0.0000
Ga1 0.5000 0.5000 0.5000



Entry from Alexandria via LeMat-Bulk: a relaxed LiPmAl2Ga4 crystal (PBE-GGA).

Results
Density of states at the Fermi level in states/eV per atom: 0.412
E_form in meV/atom: -261
M_tot in μB per cell: 0.0
ρ in g cm⁻³: 5.3

Lattice parameters (Å, degrees): 4.5005 4.5005 8.9714 75.47 75.47 60.00
Fractional positions:
Li1 0.5000 0.5000 0.5000
Pm1 0.0000 0.0000 0.0000
Al1 0.7574 0.7574 0.7279
Al2 0.2426 0.2426 0.2721
Ga1 0.3973 0.3973 0.8081
Ga2 0.8686 0.8686 0.3942
Ga3 0.1314 0.1314 0.6058
Ga4 0.6027 0.6027 0.1919



Entry from Alexandria via LeMat-Bulk: a relaxed LiPmAlGa crystal (PBE-GGA).

Results
Density of states at the Fermi level in states/eV per atom: 0.448
E_form in meV/atom: -325
Excess energy over the best structure of this formula in the dataset in meV per atom: 0.0
M_tot in μB per cell: 0.0
ρ in g cm⁻³: 4.9

Lattice parameters (Å, degrees): 4.9310 4.9310 4.9310 60.00 60.00 60.00
Fractional positions:
Li1 0.2500 0.2500 0.2500
Al1 0.5000 0.5000 0.5000
Ga1 0.0000 0.0000 0.0000
Pm1 0.7500 0.7500 0.7500



Entry from Alexandria via LeMat-Bulk: a relaxed LiPm2Al3Ga4 crystal (PBE-GGA).

Results
Density of states at the Fermi level in states/eV per atom: 0.344
E_form in meV/atom: -438
M_tot in μB per cell: 0.0
ρ in g cm⁻³: 5.5

Lattice parameters (Å, degrees): 4.2878 4.2878 10.8143 90.00 90.00 90.00
Fractional positions:
Li1 0.5000 0.5000 0.5000
Pm1 0.5000 0.0000 0.2436
Pm2 0.0000 0.5000 0.7564
Al1 0.0000 0.0000 0.5000
Al2 0.5000 0.0000 0.8629
Al3 0.0000 0.5000 0.1371
Ga1 0.5000 0.5000 0.0000
Ga2 0.0000 0.0000 0.0000
Ga3 0.5000 0.0000 0.6355
Ga4 0.0000 0.5000 0.3645